--- A ---
The following is a DFT calculation (PBE-GGA) of an optimized crystal structure of NbInSn.

theoretical density	7.79	g cm⁻³
Fermi-level density of states	1.6	states/eV/f.u.

a b c (Å): 6.853 6.853 7.782
angles (deg): 90.00 90.00 130.36
Fractional positions:
Nb1 0.098 0.902 0.922
Nb2 0.402 0.598 0.422
Nb3 0.598 0.402 0.578
Nb4 0.902 0.098 0.078
In1 0.170 0.330 0.750
In2 0.330 0.170 0.250
In3 0.670 0.830 0.750
In4 0.830 0.670 0.250
Sn1 0.178 0.822 0.574
Sn2 0.322 0.678 0.074
Sn3 0.678 0.322 0.926
Sn4 0.822 0.178 0.426

---

--- B ---
The following is a DFT calculation (PBE-GGA) of an optimized crystal structure of NbInSn.

theoretical density	8.43	g cm⁻³
Fermi-level density of states	2.3	states/eV/f.u.

a b c (Å): 5.062 5.062 2.899
angles (deg): 90.00 90.00 120.00
Fractional positions:
Nb1 0.000 0.000 0.000
In1 0.667 0.333 0.498
Sn1 0.333 0.667 0.512

---

Which structure is the most stable? The one labeled A.

---

--- A ---
The following is a DFT calculation (PBE-GGA) of an optimized crystal structure of SrNb3In.

theoretical density	5.63	g cm⁻³
Fermi-level density of states	6.6	states/eV/f.u.

a b c (Å): 5.217 5.217 5.217
angles (deg): 90.00 90.00 90.00
Fractional positions:
Sr1 0.000 0.000 0.000
Nb1 0.000 0.500 0.500
Nb2 0.500 0.000 0.500
Nb3 0.500 0.500 0.000
In1 0.500 0.500 0.500

---

--- B ---
The following is a DFT calculation (PBE-GGA) of an optimized crystal structure of SrNb3In.

theoretical density	6.73	g cm⁻³
Fermi-level density of states	6.1	states/eV/f.u.

a b c (Å): 4.916 4.916 4.916
angles (deg): 90.00 90.00 90.00
Fractional positions:
Sr1 0.000 0.000 0.000
Nb1 0.000 0.000 0.500
Nb2 0.000 0.500 0.000
Nb3 0.500 0.000 0.000
In1 0.500 0.500 0.500

---

Which structure is the most stable? The one labeled A.

---

--- A ---
The following is a DFT calculation (PBE-GGA) of an optimized crystal structure of Sr2NbIn2.

theoretical density	4.74	g cm⁻³
Fermi-level density of states	3.9	states/eV/f.u.

a b c (Å): 10.317 10.317 10.317
angles (deg): 156.50 156.50 33.48
Fractional positions:
Sr1 0.098 0.098 0.000
Sr2 0.902 0.902 0.000
Nb1 0.500 0.500 0.000
In1 0.250 0.750 0.500
In2 0.750 0.250 0.500

---

--- B ---
The following is a DFT calculation (PBE-GGA) of an optimized crystal structure of Sr2NbIn2.

theoretical density	5.36	g cm⁻³
Fermi-level density of states	3.8	states/eV/f.u.

a b c (Å): 9.496 9.496 3.418
angles (deg): 90.00 90.00 90.00
Fractional positions:
Sr1 0.132 0.368 0.000
Sr2 0.368 0.868 0.000
Sr3 0.632 0.132 0.000
Sr4 0.868 0.632 0.000
Nb1 0.000 0.000 0.000
Nb2 0.500 0.500 0.000
In1 0.168 0.668 0.500
In2 0.332 0.168 0.500
In3 0.668 0.832 0.500
In4 0.832 0.332 0.500

---

Which structure is the most stable? The one labeled A.